Ac3RuBr2O6: relaxed, PBE.

- Energy: -6.51 eV per atom
- M_tot: 3.0 μB per formula unit
- N(E_F): 0.04 states/eV/atom

Cell: 12.1496 6.9861 6.0859 Å, 90.00 98.46 90.00°
Space group C2/m (No. 12)
Inequivalent atoms, fractional coordinates:
1 Ac 0.0000 0.0000 0.0000 x2
2 Ac 0.2500 0.2500 0.5000 x4
3 Ru 0.0000 0.5000 0.5000 x2
4 Br 0.2348 0.0000 0.9069 x4
5 O 0.0535 0.2727 0.3109 x8
6 O 0.1536 0.5000 0.6540 x4

AcSBrO4: relaxed, PBE.

- Energy: -6.39 eV per atom
- M_tot: 0.0 μB per formula unit
- N(E_F): 0.00 states/eV/atom

Cell: 10.5632 7.3715 6.9441 Å, 90.00 102.79 90.00°
Space group C2/m (No. 12)
Inequivalent atoms, fractional coordinates:
1 Ac 0.2398 0.0000 0.1610 x4
2 S 0.1325 0.5000 0.2537 x4
3 Br 0.0324 0.0000 0.7573 x4
4 O 0.0084 0.5000 0.7670 x4
5 O 0.1748 0.3386 0.1488 x8
6 O 0.2002 0.5000 0.4635 x4

What is the energy in the first record?
-6.51 eV per atom